The following is a DFT calculation (PBE) of an optimized crystal structure of Dy2ErSn2.

Computed properties:
final energy = -5.025 eV per atom
symmetry = P4/mbm

```
data_Dy2ErSn2
_chemical_formula_sum 'Dy4 Er2 Sn4'
_space_group_name_H-M_alt 'P 1'
_space_group_IT_number 1
_space_group_name_Hall 'P 1'
_cell_length_a 4.375
_cell_length_b 8.015
_cell_length_c 8.015
_cell_angle_alpha 90.00
_cell_angle_beta 90.00
_cell_angle_gamma 90.00
loop_
_atom_site_label
_atom_site_type_symbol
_atom_site_fract_x
_atom_site_fract_y
_atom_site_fract_z
_atom_site_occupancy
Dy1 Dy 0.500 0.170 0.670 1
Dy2 Dy 0.500 0.670 0.830 1
Dy3 Dy 0.500 0.830 0.330 1
Dy4 Dy 0.500 0.330 0.170 1
Er1 Er 0.000 0.000 0.000 1
Er2 Er 0.000 0.500 0.500 1
Sn1 Sn 0.000 0.367 0.867 1
Sn2 Sn 0.000 0.867 0.633 1
Sn3 Sn 0.000 0.633 0.133 1
Sn4 Sn 0.000 0.133 0.367 1
```